TbPm2NdSm6: relaxed, PBE-GGA.

Its crystal system is monoclinic. Its symmetry is No. 15. The value obtained for the total energy is -92.1 eV per cell.

Unit cell a=9.896 b=8.915 c=8.915 alpha=118.19 beta=94.68 gamma=94.68
Atoms (fractional coordinates):
Tb1 0.250 0.981 0.019
Tb2 0.750 0.019 0.981
Pm1 0.458 0.810 0.708
Pm2 0.042 0.292 0.190
Pm3 0.542 0.190 0.292
Pm4 0.958 0.708 0.810
Nd1 0.250 0.406 0.594
Nd2 0.750 0.594 0.406
Sm1 0.056 0.121 0.748
Sm2 0.444 0.252 0.879
Sm3 0.944 0.879 0.252
Sm4 0.556 0.748 0.121
Sm5 0.314 0.976 0.424
Sm6 0.186 0.576 0.024
Sm7 0.686 0.024 0.576
Sm8 0.814 0.424 0.976
Sm9 0.122 0.707 0.500
Sm10 0.378 0.500 0.293
Sm11 0.878 0.293 0.500
Sm12 0.622 0.500 0.707